This record from Alexandria describes a geometry-optimized Th2CoC structure. The functional is PBE.

Values from the calculation:
As for the space group: R-3m. The energy above the lowest structure with this stoichiometry is 608 meV/atom. As for the crystal system: trigonal.

Lattice parameters (Å, degrees): 3.533 3.533 8.263 77.66 77.66 60.00
Fractional positions:
Co: 0.000 0.000 0.000
Th: 0.897 0.897 0.309
Th: 0.103 0.103 0.691
C: 0.500 0.500 0.500

=====

This record from Alexandria describes a geometry-optimized Zn2CrRe structure. The functional is PBE.

Values from the calculation:
As for the space group: Immm. The energy above the lowest structure with this stoichiometry is 111 meV/atom. As for the crystal system: orthorhombic.

Lattice parameters (Å, degrees): 5.032 5.032 5.032 144.17 131.98 61.34
Fractional positions:
Zn: 0.505 0.505 0.000
Zn: 0.995 0.995 0.000
Cr: 0.750 0.250 0.500
Re: 0.250 0.750 0.500

=====

This record from Alexandria describes a geometry-optimized Cs2ZnI7 structure. The functional is PBE.

Values from the calculation:
As for the space group: I4/mmm. As for the formation energy without anion corrections: -6.7 eV per formula unit. As for the crystal system: tetragonal.

Lattice parameters (Å, degrees): 8.688 8.688 8.816 60.48 60.48 90.00
Fractional positions:
I: 0.746 0.254 0.000
I: 0.000 0.000 0.000
I: 0.293 0.293 0.415
I: 0.254 0.254 0.000
I: 0.746 0.746 0.000
I: 0.707 0.707 0.585
I: 0.254 0.746 0.000
Cs: 0.750 0.250 0.500
Cs: 0.250 0.750 0.500
Zn: 0.500 0.500 0.000

=====

This record from Alexandria describes a geometry-optimized Ac7BiAs5 structure. The functional is PBE.

Values from the calculation:
As for the space group: Cmcm. As for the crystal system: orthorhombic.

Lattice parameters (Å, degrees): 4.572 7.830 27.011 90.00 90.00 106.98
Fractional positions:
Ac: 0.364 0.727 0.965
Ac: 0.823 0.646 0.673
Ac: 0.178 0.355 0.173
Ac: 0.177 0.355 0.327
Ac: 0.090 0.180 0.604
Ac: 0.823 0.646 0.827
Ac: 0.531 0.063 0.750
Ac: 0.910 0.821 0.396
Ac: 0.910 0.821 0.104
Ac: 0.637 0.274 0.465
Ac: 0.637 0.274 0.035
Ac: 0.090 0.180 0.896
Ac: 0.364 0.727 0.535
Ac: 0.469 0.939 0.250
As: 0.728 0.455 0.927
As: 0.545 0.090 0.143
As: 0.545 0.090 0.357
As: 0.000 0.001 0.000
As: 0.273 0.546 0.073
As: 0.728 0.455 0.573
As: 0.000 0.001 0.500
As: 0.456 0.911 0.857
As: 0.456 0.911 0.643
As: 0.273 0.546 0.427
Bi: 0.798 0.596 0.250
Bi: 0.203 0.405 0.750

=====

This record from Alexandria describes a geometry-optimized NaLaTc structure. The functional is PBE.

Values from the calculation:
As for the space group: Cm. The energy above the lowest structure with this stoichiometry is 281 meV/atom. As for the crystal system: monoclinic.

Lattice parameters (Å, degrees): 4.125 5.934 8.044 98.48 90.01 110.35
Fractional positions:
Tc: 0.110 0.619 0.616
Tc: 0.563 0.526 0.475
Na: 0.222 0.843 0.268
Na: 0.936 0.272 0.166
La: 0.613 0.625 0.873
La: 0.850 0.098 0.601

=====

This record from Alexandria describes a geometry-optimized GeSb2TeSe structure. The functional is PBE.

Values from the calculation:
As for the space group: P4/mmm. As for the formation energy without anion corrections: 3.6 eV per formula unit. The energy above the lowest structure with this stoichiometry is 8 meV/atom. As for the crystal system: tetragonal.

Lattice parameters (Å, degrees): 5.419 5.419 5.418 90.00 90.00 90.00
Fractional positions:
Ge: 0.500 0.500 0.500
Se: 0.000 0.000 0.000
Te: 0.000 0.000 0.500
Sb: 0.500 0.000 0.000
Sb: 0.000 0.500 0.000

=====

Number 1: uncorrected energy -30.0 eV/cell. Number 2: uncorrected energy -23.7 eV/cell. Number 3: uncorrected energy -20.5 eV/cell. Number 4: uncorrected energy -145.5 eV/cell. Number 5: uncorrected energy -31.4 eV/cell. Number 6: uncorrected energy -15.9 eV/cell.